DFT (GGA+U) results for crystalline AcNi2OsO8 at its relaxed geometry.

Cell: 4.624 4.621 7.063 Å, 89.99 90.00 89.95°
Last column: magnetic moment on the atom in μB.
Fractional positions:
1 Ac 0.000 0.000 0.500  -0.01
2 Ni 0.501 0.501 0.797  1.71
3 Ni 0.499 0.499 0.203  1.71
4 Os 0.000 0.000 0.000  -0.57
5 O 0.198 0.802 0.203  -0.01
6 O 0.715 0.716 0.000  0.04
7 O 0.803 0.199 0.202  -0.01
8 O 0.802 0.198 0.797  -0.01
9 O 0.285 0.284 0.000  0.04
10 O 0.197 0.801 0.798  -0.01
11 O 0.613 0.615 0.505  0.04
12 O 0.387 0.385 0.495  0.04

DFT (GGA+U) results for crystalline AcNiP2O8 at its relaxed geometry.

Cell: 5.992 5.992 5.992 Å, 105.48 105.48 117.79°
Last column: magnetic moment on the atom in μB.
Fractional positions:
1 Ac 0.250 0.750 0.500  0.01
2 Ni 0.000 0.000 0.000  1.78
3 P 0.750 0.250 0.500  0.00
4 P 0.500 0.500 0.000  -0.01
5 O 0.428 0.103 0.325  0.10
6 O 0.337 0.499 0.162  0.18
7 O 0.337 0.175 0.838  0.18
8 O 0.778 0.103 0.675  0.10
9 O 0.825 0.663 0.162  0.18
10 O 0.897 0.222 0.325  0.10
11 O 0.897 0.572 0.675  0.10
12 O 0.501 0.663 0.838  0.18

DFT (GGA+U) results for crystalline Ac2PaNi3O12 at its relaxed geometry.

Cell: 6.569 6.569 6.569 Å, 62.78 62.78 62.78°
Last column: magnetic moment on the atom in μB.
Fractional positions:
1 Ac 0.611 0.611 0.611  0.00
2 Ac 0.389 0.389 0.389  0.00
3 Pa 0.000 0.000 0.000  -0.05
4 Ni 0.500 0.000 0.000  -0.20
5 Ni 0.000 0.500 0.000  -0.20
6 Ni 0.000 0.000 0.500  -0.20
7 O 0.267 0.267 0.870  0.09
8 O 0.861 0.861 0.427  0.16
9 O 0.427 0.861 0.861  0.16
10 O 0.870 0.267 0.267  0.09
11 O 0.861 0.427 0.861  0.16
12 O 0.267 0.870 0.267  0.09
13 O 0.733 0.733 0.130  0.09
14 O 0.139 0.139 0.573  0.16
15 O 0.573 0.139 0.139  0.16
16 O 0.130 0.733 0.733  0.09
17 O 0.139 0.573 0.139  0.16
18 O 0.733 0.130 0.733  0.09

One value per record, in order, for E_tot: -6.3351, -6.7971, -6.4679 eV/atom.